Computed, not measured: crystalline LaInPb2 at its relaxed geometry at the GGA-PBE level of DFT.

Cell lengths 10.722, 10.722, 10.722 Å; angles 19.96, 19.96, 19.96 degrees
Fractional coordinates of all 4 atoms:
In 0.504 0.504 0.504
La 0.752 0.752 0.752
Pb 0.997 0.997 0.997
Pb 0.248 0.248 0.248

**VASP energy**: -3.898 eV/atom
**Density**: 8.8 g/cm³
**Size of the total moment**: 0.00 Bohr magnetons per cell
**DFT formation energy**: -127.3 meV/atom

=====

Computed, not measured: crystalline IrRu2 at its relaxed geometry at the GGA-PBE level of DFT.

Cell lengths 2.715, 6.059, 2.715 Å; angles 77.05, 90.00, 102.95 degrees
Fractional coordinates of all 3 atoms:
Ru 0.669 0.338 0.331
Ru 0.331 0.662 0.669
Ir 0.000 0.000 0.000

**Energy relative to the lowest polymorph listed for this composition**: 21.1 kJ/mol of formula units
**VASP energy**: -9.114 eV/atom
**Density**: 15.5 g/cm³
**Size of the total moment**: 0.00 Bohr magnetons per cell
**DFT formation energy**: 23.3 meV/atom

=====

Computed, not measured: crystalline PuGe2H at its relaxed geometry at the GGA-PBE level of DFT.

Cell lengths 4.822, 4.822, 6.002 Å; angles 66.32, 66.32, 60.00 degrees
Fractional coordinates of all 4 atoms:
Ge 0.111 0.111 0.667
Ge 0.889 0.889 0.333
Pu 0.500 0.500 0.500
H 0.000 0.000 0.000

**VASP energy**: -6.302 eV/atom
**Density**: 6.1 g/cm³
**Size of the total moment**: 5.63 Bohr magnetons per cell

=====

Computed, not measured: crystalline NaP2SeO8 at its relaxed geometry at the GGA-PBE level of DFT.

Cell lengths 4.785, 4.785, 7.488 Å; angles 89.81, 89.81, 66.17 degrees
Fractional coordinates of all 12 atoms:
P 0.646 0.646 0.212
P 0.354 0.354 0.788
O 0.285 0.773 0.193
O 0.773 0.285 0.193
O 0.227 0.715 0.807
O 0.239 0.239 0.959
O 0.725 0.725 0.391
O 0.715 0.227 0.807
O 0.275 0.275 0.609
O 0.761 0.761 0.041
Na 0.000 0.000 0.500
Se 0.000 0.000 0.000

**VASP energy**: -6.180 eV/atom
**Density**: 3.1 g/cm³
**Size of the total moment**: 0.00 Bohr magnetons per cell
**ΔE_f (raw)**: -1.573 eV/atom

=====

Computed, not measured: crystalline Pm3PuTh4S8 at its relaxed geometry at the GGA-PBE level of DFT.

Cell lengths 7.999, 8.105, 7.999 Å; angles 119.57, 120.00, 90.00 degrees
Fractional coordinates of all 16 atoms:
Pm 0.000 0.500 0.500
Pm 0.500 0.500 0.000
Pm 0.500 0.500 0.500
S 0.753 0.255 0.506
S 0.247 0.745 0.998
S 0.753 0.255 0.002
S 0.751 0.745 0.998
S 0.251 0.253 0.502
S 0.247 0.745 0.494
S 0.249 0.255 0.002
S 0.749 0.747 0.498
Th 0.000 0.000 0.000
Th 0.500 0.000 0.500
Th 0.000 0.000 0.500
Th 0.500 0.000 0.000
Pu 0.000 0.500 0.000

**VASP energy**: -7.611 eV/atom
**Density**: 8.4 g/cm³
**Size of the total moment**: 5.46 Bohr magnetons per cell
**ΔE_f (raw)**: -1.906 eV/atom

=====

Computed, not measured: crystalline KSnICl2 at its relaxed geometry at the GGA-PBE level of DFT.

Cell lengths 5.553, 5.553, 6.309 Å; angles 90.00, 90.00, 90.00 degrees
Fractional coordinates of all 5 atoms:
Sn 0.000 0.000 0.000
Cl 0.000 0.500 0.000
Cl 0.500 0.000 0.000
K 0.500 0.500 0.500
I 0.000 0.000 0.500

**Energy relative to the lowest polymorph listed for this composition**: 9.4 kJ/mol of formula units
**VASP energy**: -3.244 eV/atom
**Density**: 3.0 g/cm³
**Size of the total moment**: 0.00 Bohr magnetons per cell
**ΔE_f (raw)**: -1.175 eV/atom

=====

Computed, not measured: crystalline OsBr2 at its relaxed geometry at the GGA-PBE level of DFT.

Cell lengths 4.473, 4.473, 4.473 Å; angles 60.00, 60.00, 60.00 degrees
Fractional coordinates of all 3 atoms:
Br 0.750 0.750 0.750
Br 0.250 0.250 0.250
Os 0.000 0.000 0.000

**Energy relative to the lowest polymorph listed for this composition**: 203.3 kJ/mol of formula units
**VASP energy**: -3.870 eV/atom
**Density**: 9.2 g/cm³
**Size of the total moment**: 0.00 Bohr magnetons per cell
**ΔE_f (raw)**: 0.988 eV/atom

=====

Computed, not measured: crystalline PHOsN at its relaxed geometry at the GGA-PBE level of DFT.

Cell lengths 3.087, 3.866, 4.953 Å; angles 67.39, 71.89, 66.93 degrees
Fractional coordinates of all 4 atoms:
H 0.701 0.955 0.096
Os 0.593 0.767 0.466
P 0.361 0.450 0.243
N 0.470 0.589 0.882

**Energy relative to the lowest polymorph listed for this composition**: 96.8 kJ/mol of formula units
**VASP energy**: -6.765 eV/atom
**Density**: 8.0 g/cm³
**Size of the total moment**: 0.00 Bohr magnetons per cell